Here is a relaxed structure of NaNiBF6 from the Alexandria database. Energies are from PBE+U.

```
NaNiBF6
1.0
2.441 -4.258 0.000
2.441 4.258 0.000
-0.020 0.000 4.855
Na Ni B F
1 1 1 6
Direct
0.000 0.000 0.000
0.666 0.334 0.500
0.336 0.664 0.500
0.052 0.659 0.697
0.056 0.399 0.304
0.339 0.398 0.694
0.341 0.948 0.303
0.601 0.944 0.696
0.602 0.661 0.306
```

Output
Space-group type = C2
ρ = 3.40 Mg/m³
Crystal system = monoclinic
Calculated total energy = -4.75 eV per atom
M_tot = 0.22 μB per atom